Record 1
A plane-wave DFT calculation with PBE-GGA was carried out for an optimized crystal structure of BaCdSn2Se6.

Cell lengths 15.4605, 12.4315, 8.1810 Å; angles 90.00, 117.78, 90.00 degrees
With the nearest neighbours (Å) after each atom.
Space group C2/c (No. 15)
Symmetry-distinct sites (fractional):
Ba  0.0000  0.1762  0.2500  6 Se 3.28-3.51
Cd  0.0000  0.1964  0.7500  4 Se 2.65-2.78
Sn  0.2126  0.4256  0.1665  4 Se 2.56-2.64
Se  0.1019  0.0500  0.6484  1 Sn 2.56, 1 Cd 2.78
Se  0.1344  0.4397  0.3923  2 Sn 2.60-2.64
Se  0.1499  0.2331  0.0786  1 Sn 2.56, 1 Cd 2.65

- Total magnetization: 0.00 μB per formula unit
- ΔE_f (raw): -0.679 eV/atom



Record 2
A plane-wave DFT calculation with PBE-GGA was carried out for an optimized crystal structure of PrSc5In4.

Cell lengths 3.3470, 3.3470, 21.3240 Å; angles 90.00, 90.00, 90.00 degrees
With the nearest neighbours (Å) after each atom.
Space group P4/mmm (No. 123)
Symmetry-distinct sites (fractional):
Pr  0.0000  0.0000  0.0000  4 Pr 3.35, 8 Sc 3.47
Sc  0.5000  0.5000  0.1189  4 In 3.10, 4 Sc 3.35, 4 Pr 3.47
Sc  0.5000  0.5000  0.3084  8 In 3.12-3.13, 4 Sc 3.35
Sc  0.5000  0.5000  0.5000  8 In 3.13, 4 Sc 3.35
In  0.0000  0.0000  0.2126  8 Sc 3.10-3.13, 4 In 3.35
In  0.0000  0.0000  0.4040  8 Sc 3.12-3.13, 4 In 3.35

- Total magnetization: 0.09 μB per formula unit
- Electronic total energy: -50.78 eV for the cell shown



Record 3
A plane-wave DFT calculation with PBE-GGA was carried out for an optimized crystal structure of NaYTi.

Cell lengths 5.2656, 5.2656, 6.7851 Å; angles 90.00, 90.00, 120.00 degrees
With the nearest neighbours (Å) after each atom.
Space group P6_3/mmc (No. 194)
Symmetry-distinct sites (fractional):
Na  0.3333  0.6667  0.2500  5 Ti 3.04-3.39
Y  0.0000  0.0000  0.0000  2 Y 3.39, 6 Ti 3.48, 6 Na 3.48
Ti  0.3333  0.6667  0.7500  5 Na 3.04-3.39

- Total magnetization: 2.97 μB per formula unit
- Polymorph energy (0 for the lowest one): 612 meV/atom



Record 4
A plane-wave DFT calculation with PBE-GGA was carried out for an optimized crystal structure of Mg5Cr.

Cell lengths 3.3636, 3.3636, 11.2547 Å; angles 90.00, 90.00, 90.00 degrees
With the nearest neighbours (Å) after each atom.
Space group P4/mmm (No. 123)
Symmetry-distinct sites (fractional):
Mg  0.0000  0.0000  0.0000  12 Mg 3.14-3.36
Mg  0.0000  0.0000  0.3573  4 Cr 2.87, 5 Mg 3.09-3.21
Mg  0.5000  0.5000  0.1817  12 Mg 3.09-3.36
Cr  0.5000  0.5000  0.5000  8 Mg 2.87

- Total magnetization: 3.69 μB per formula unit
- Electronic total energy: -16.51 eV for the cell shown



Record 5
A plane-wave DFT calculation with PBE-GGA was carried out for an optimized crystal structure of SrTh2Cd6.

Cell lengths 8.9139, 8.9139, 3.4486 Å; angles 90.00, 90.00, 120.00 degrees
With the nearest neighbours (Å) after each atom.
Space group P6/mmm (No. 191)
Symmetry-distinct sites (fractional):
Sr  0.0000  0.0000  0.0000  2 Sr 3.45, 12 Cd 3.45
Th  0.3333  0.6667  0.0000  12 Cd 3.43, 2 Th 3.45
Cd  0.0000  0.3351  0.5000  3 Cd 2.94-2.99

- Total magnetization: 0.00 μB per formula unit
- Electronic total energy: -23.96 eV for the cell shown



Record 6
A plane-wave DFT calculation with PBE-GGA was carried out for an optimized crystal structure of Pr12Nd5Al2.

Cell lengths 18.3553, 8.1475, 9.1575 Å; angles 90.00, 108.17, 90.00 degrees
With the nearest neighbours (Å) after each atom.
Space group C2/m (No. 12)
Symmetry-distinct sites (fractional):
Pr  0.0171  0.0000  0.1909  2 Al 3.22, 3 Pr 3.31-3.35
Pr  0.0537  0.5000  0.6672  3 Pr 3.08-3.40, 2 Al 3.16
Pr  0.1345  0.2998  0.3627  2 Pr 3.26-3.31, 1 Al 3.30, 3 Nd 3.46-3.64
Pr  0.1537  0.2646  0.9698  4 Pr 3.40-3.73, 3 Nd 3.49-3.70
Nd  0.0000  0.5000  0.0000  10 Pr 3.48-3.83
Nd  0.1823  0.0000  0.6642  2 Al 3.47, 6 Pr 3.58-3.81
Nd  0.2490  0.5000  0.7152  9 Pr 3.46-3.84
Al  0.0000  0.1608  0.5000  1 Al 2.62

- Total magnetization: 0.00 μB per formula unit
- Electronic total energy: -175.41 eV for the cell shown



Record 7
A plane-wave DFT calculation with PBE-GGA was carried out for an optimized crystal structure of ZnCd2Cl.

Cell lengths 7.2681, 7.2681, 7.2681 Å; angles 90.00, 90.00, 90.00 degrees
With the nearest neighbours (Å) after each atom.
Space group Fm-3m (No. 225)
Symmetry-distinct sites (fractional):
Zn  0.0000  0.0000  0.0000  8 Cd 3.15
Cd  0.2500  0.2500  0.2500  4 Cl 3.15, 4 Zn 3.15
Cl  0.0000  0.0000  0.5000  8 Cd 3.15

- Total magnetization: 0.00 μB per formula unit
- ΔE_f (raw): 0.014 eV/atom
- Polymorph energy (0 for the lowest one): 261 meV/atom



Record 8
A plane-wave DFT calculation with PBE-GGA was carried out for an optimized crystal structure of Sr2Zn3Ga4Sn.

Cell lengths 4.4507, 4.4507, 11.1498 Å; angles 90.00, 90.00, 90.00 degrees
With the nearest neighbours (Å) after each atom.
Space group P-4m2 (No. 115)
Symmetry-distinct sites (fractional):
Sr  0.0000  0.5000  0.2410  8 Ga 3.38-3.49, 6 Zn 3.40-3.65, 2 Sn 3.65
Zn  0.0000  0.5000  0.8740  5 Ga 2.52-2.63
Zn  0.5000  0.5000  0.5000  4 Ga 2.77
Ga  0.0000  0.0000  0.0000  4 Zn 2.63
Ga  0.0000  0.5000  0.6481  3 Zn 2.52-2.77, 2 Sn 2.77
Ga  0.5000  0.5000  0.0000  4 Zn 2.63
Sn  0.0000  0.0000  0.5000  4 Ga 2.77

- Total magnetization: 0.00 μB per formula unit
- Electronic total energy: -26.87 eV for the cell shown



Record 9
A plane-wave DFT calculation with PBE-GGA was carried out for an optimized crystal structure of Sr2MgCu4Ge3.

Cell lengths 4.3335, 4.3335, 10.3406 Å; angles 90.00, 90.00, 90.00 degrees
With the nearest neighbours (Å) after each atom.
Space group P-4m2 (No. 115)
Symmetry-distinct sites (fractional):
Sr  0.0000  0.5000  0.2372  8 Cu 3.27-3.33, 6 Ge 3.28-3.48, 2 Mg 3.48
Mg  0.0000  0.0000  0.5000  4 Cu 2.59
Cu  0.0000  0.0000  0.0000  4 Ge 2.52
Cu  0.0000  0.5000  0.6376  3 Ge 2.47-2.59, 2 Mg 2.59
Cu  0.5000  0.5000  0.0000  4 Ge 2.52
Ge  0.0000  0.5000  0.8762  5 Cu 2.47-2.52
Ge  0.5000  0.5000  0.5000  4 Cu 2.59

- Total magnetization: 0.00 μB per formula unit
- Electronic total energy: -38.34 eV for the cell shown



Record 10
A plane-wave DFT calculation with PBE-GGA was carried out for an optimized crystal structure of MgNiH3.

Cell lengths 3.5532, 3.5532, 3.5532 Å; angles 90.00, 90.00, 90.00 degrees
With the nearest neighbours (Å) after each atom.
Space group Pm-3m (No. 221)
Symmetry-distinct sites (fractional):
Mg  0.0000  0.0000  0.0000  6 H 1.78
Ni  0.5000  0.5000  0.5000  12 H 2.51
H  0.0000  0.0000  0.5000  2 Mg 1.78

- Total magnetization: 1.00 μB per formula unit
- Polymorph energy (0 for the lowest one): 796 meV/atom



Record 11
A plane-wave DFT calculation with PBE-GGA was carried out for an optimized crystal structure of NiHBr.

Cell lengths 8.5132, 3.2308, 6.4741 Å; angles 90.00, 90.00, 90.00 degrees
With the nearest neighbours (Å) after each atom.
Space group Pnma (No. 62)
Symmetry-distinct sites (fractional):
Ni  0.1123  0.2500  0.0388  1 H 1.55
H  0.0220  0.7500  0.1238  1 Ni 1.55
Br  0.1960  0.2500  0.4098  3 Ni 2.44-2.51

- Total magnetization: 0.00 μB per formula unit
- Polymorph energy (0 for the lowest one): 44 meV/atom



Record 12
A plane-wave DFT calculation with PBE-GGA was carried out for an optimized crystal structure of TlMoSe2.

Cell lengths 6.8162, 6.8162, 6.8162 Å; angles 90.00, 90.00, 90.00 degrees
With the nearest neighbours (Å) after each atom.
Space group Fm-3m (No. 225)
Symmetry-distinct sites (fractional):
Tl  0.0000  0.0000  0.0000  8 Se 2.95
Mo  0.0000  0.0000  0.5000  8 Se 2.95
Se  0.2500  0.2500  0.2500  4 Mo 2.95, 4 Tl 2.95

- Total magnetization: 0.00 μB per formula unit
- ΔE_f (raw): 0.385 eV/atom



> total magnetization of number 2 (PrSc5In4)?

0.09 μB per formula unit